Arrangement i

Compound: LiAcSm2
Source: the Alexandria database
Functional: PBE
Structure: optimized geometry

Values from the calculation:
V: 436 Å³ per cell

a = 3.6516 Å, b = 3.6516 Å, c = 37.7520 Å
α = 90.00°, β = 90.00°, γ = 120.00°
Space group R-3m (No. 166, hexagonal axes)
One atom of each set of equivalent atoms:
Li 0.0000 0.0000 0.0000 (multiplicity 3)
Ac 0.0000 0.0000 0.5000 (multiplicity 3)
Sm 0.0000 0.0000 0.0876 (multiplicity 6)



Arrangement ii

Compound: LiAcSm2
Source: the Alexandria database
Functional: PBE
Structure: optimized geometry

Values from the calculation:
V: 411 Å³ per cell

a = 3.6862 Å, b = 3.6862 Å, c = 34.8893 Å
α = 90.00°, β = 90.00°, γ = 120.00°
Space group R3m (No. 160, hexagonal axes)
One atom of each set of equivalent atoms:
Li 0.0000 0.0000 0.0000 (multiplicity 3)
Ac 0.0000 0.0000 0.8334 (multiplicity 3)
Sm 0.0000 0.0000 0.4101 (multiplicity 3)
Sm 0.0000 0.0000 0.5902 (multiplicity 3)



Short version: arrangement i is the least stable of them.



Arrangement i

Compound: LiAc2Sm
Source: the Alexandria database
Functional: PBE
Structure: optimized geometry

Values from the calculation:
V: 484 Å³ per cell

a = 3.7952 Å, b = 3.7952 Å, c = 38.8372 Å
α = 90.00°, β = 90.00°, γ = 120.00°
Space group R-3m (No. 166, hexagonal axes)
One atom of each set of equivalent atoms:
Li 0.0000 0.0000 0.0000 (multiplicity 3)
Ac 0.0000 0.0000 0.0889 (multiplicity 6)
Sm 0.0000 0.0000 0.5000 (multiplicity 3)



Arrangement ii

Compound: LiAc2Sm
Source: the Alexandria database
Functional: PBE
Structure: optimized geometry

Values from the calculation:
V: 590 Å³ per cell

a = 8.3891 Å, b = 8.3891 Å, c = 8.3891 Å
α = 90.00°, β = 90.00°, γ = 90.00°
Space group Fm-3m (No. 225)
One atom of each set of equivalent atoms:
Li 0.0000 0.0000 0.0000 (multiplicity 4)
Ac 0.2500 0.2500 0.2500 (multiplicity 8)
Sm 0.0000 0.0000 0.5000 (multiplicity 4)



Short version: arrangement i is the least stable of them.



Arrangement i

Compound: LiAc2Sm
Source: the Alexandria database
Functional: PBE
Structure: optimized geometry

Values from the calculation:
V: 455 Å³ per cell

a = 3.8507 Å, b = 3.8507 Å, c = 35.4477 Å
α = 90.00°, β = 90.00°, γ = 120.00°
Space group R3m (No. 160, hexagonal axes)
One atom of each set of equivalent atoms:
Li 0.0000 0.0000 0.0000 (multiplicity 3)
Ac 0.0000 0.0000 0.4143 (multiplicity 3)
Ac 0.0000 0.0000 0.5847 (multiplicity 3)
Sm 0.0000 0.0000 0.8326 (multiplicity 3)



Arrangement ii

Compound: LiAc2Sm
Source: the Alexandria database
Functional: PBE
Structure: optimized geometry

Values from the calculation:
V: 146 Å³ per cell

a = 3.9302 Å, b = 3.9302 Å, c = 9.4442 Å
α = 90.00°, β = 90.00°, γ = 90.00°
Space group P4/mmm (No. 123)
One atom of each set of equivalent atoms:
Li 0.0000 0.0000 0.0000 (multiplicity 1)
Ac 0.5000 0.5000 0.2281 (multiplicity 2)
Sm 0.0000 0.0000 0.5000 (multiplicity 1)



Short version: arrangement i is the least stable of them.



Arrangement i

Compound: LiAcSmZn
Source: the Alexandria database
Functional: PBE
Structure: optimized geometry

Values from the calculation:
V: 450 Å³ per cell

a = 7.6619 Å, b = 7.6619 Å, c = 7.6619 Å
α = 90.00°, β = 90.00°, γ = 90.00°
Space group F-43m (No. 216)
One atom of each set of equivalent atoms:
Li 0.0000 0.0000 0.0000 (multiplicity 4)
Ac 0.2500 0.2500 0.2500 (multiplicity 4)
Sm 0.2500 0.2500 0.7500 (multiplicity 4)
Zn 0.0000 0.0000 0.5000 (multiplicity 4)



Arrangement ii

Compound: LiAcSmZn
Source: the Alexandria database
Functional: PBE
Structure: optimized geometry

Values from the calculation:
V: 113 Å³ per cell

a = 3.8543 Å, b = 3.8543 Å, c = 7.6298 Å
α = 90.00°, β = 90.00°, γ = 90.00°
Space group P4mm (No. 99)
One atom of each set of equivalent atoms:
Li 0.0000 0.0000 0.0000 (multiplicity 1)
Ac 0.5000 0.5000 0.7103 (multiplicity 1)
Sm 0.5000 0.5000 0.2428 (multiplicity 1)
Zn 0.0000 0.0000 0.4457 (multiplicity 1)



Short version: arrangement i is the least stable of them.